No. 1
A plane-wave DFT calculation with PBE was carried out for a relaxed UFeNiSb crystal.

a b c (Å): 6.487 6.487 6.487
angles (deg): 90.00 90.00 90.00
Space group F-43m (No. 216)
One atom of each set of equivalent atoms:
U 0.000 0.000 0.000 [4 per cell]
Fe 0.250 0.250 0.750 [4 per cell]
Ni 0.250 0.250 0.250 [4 per cell]
Sb 0.000 0.000 0.500 [4 per cell]

Values from the calculation:
energy relative to the elements, uncorrected	-0.070	eV/atom

---

No. 2
A plane-wave DFT calculation with PBE was carried out for a relaxed ZnFe2NiSb crystal.

a b c (Å): 4.792 4.792 4.649
angles (deg): 90.00 90.00 90.00
Space group P4/mmm (No. 123)
One atom of each set of equivalent atoms:
Zn 0.000 0.000 0.000 [1 per cell]
Fe 0.000 0.500 0.500 [2 per cell]
Ni 0.500 0.500 0.000 [1 per cell]
Sb 0.500 0.500 0.500 [1 per cell]

Values from the calculation:
energy relative to the elements, uncorrected	1.114	eV/atom

---

No. 3
A plane-wave DFT calculation with PBE was carried out for a relaxed ScFeNi crystal.

a b c (Å): 5.880 5.880 5.880
angles (deg): 90.00 90.00 90.00
Space group F-43m (No. 216)
One atom of each set of equivalent atoms:
Sc 0.000 0.000 0.000 [4 per cell]
Fe 0.250 0.250 0.750 [4 per cell]
Ni 0.250 0.250 0.250 [4 per cell]

Values from the calculation:
VASP energy	-6.188	eV per atom

---

No. 4
A plane-wave DFT calculation with PBE was carried out for a relaxed Sc2FeNi crystal.

a b c (Å): 3.0973 3.0973 25.6909
angles (deg): 90.00 90.00 120.00
Space group R3m (No. 160, hexagonal axes)
One atom of each set of equivalent atoms:
Sc 0.0000 0.0000 0.0000 [3 per cell]
Sc 0.0000 0.0000 0.2219 [3 per cell]
Fe 0.0000 0.0000 0.7490 [3 per cell]
Ni 0.0000 0.0000 0.4804 [3 per cell]

Values from the calculation:
VASP energy	-6.529	eV per atom

---

No. 5
A plane-wave DFT calculation with PBE was carried out for a relaxed Sc2Fe3Ni crystal.

a b c (Å): 4.9039 4.9039 12.3135
angles (deg): 90.00 90.00 120.00
Space group R-3m (No. 166, hexagonal axes)
One atom of each set of equivalent atoms:
Sc 0.0000 0.0000 0.1244 [6 per cell]
Fe 0.0000 0.5000 0.0000 [9 per cell]
Ni 0.0000 0.0000 0.5000 [3 per cell]

Values from the calculation:
VASP energy	-7.609	eV per atom

---

No. 6
A plane-wave DFT calculation with PBE was carried out for a relaxed Sc2FeNi2 crystal.

a b c (Å): 6.322 6.322 3.923
angles (deg): 90.00 90.00 90.00
Space group P4/mbm (No. 127)
One atom of each set of equivalent atoms:
Sc 0.176 0.324 0.000 [4 per cell]
Fe 0.000 0.000 0.500 [2 per cell]
Ni 0.133 0.633 0.500 [4 per cell]

Values from the calculation:
VASP energy	-6.793	eV per atom